[1]
## LaPS4 (GGA-PBE)

Data for a relaxed structure of LaPS4.

POSCAR file:
```
LaPS4
1.0
-5.6002 5.6002 9.7697
5.6002 -5.6002 9.7697
5.6002 5.6002 -9.7697
La P S
8 8 32
Cartesian
5.6002 2.8001 -2.4424
5.6002 -2.8001 7.3273
0.0000 2.8001 2.4424
5.6002 2.8001 2.4424
0.0000 2.8001 7.3273
5.6002 2.8001 7.3273
0.0000 8.4003 2.4424
0.0000 2.8001 12.2122
2.8001 2.3978 0.0000
0.4023 0.0000 4.8849
6.0025 0.0000 4.8849
2.8001 -2.3978 9.7697
2.8001 7.9981 0.0000
-0.4023 5.6002 4.8849
5.1979 5.6002 4.8849
2.8001 3.2024 9.7697
7.1077 -1.7287 4.8586
8.4163 2.0543 -1.6985
7.1077 3.8716 -4.8586
4.5288 1.2927 -0.0262
1.0715 1.2927 0.0262
4.8544 5.5842 -6.5834
4.8544 0.0160 3.1863
2.7841 3.5459 -1.6985
8.3843 2.0543 1.6985
4.8544 -0.0160 6.5834
4.8544 5.6162 -3.1863
6.6717 4.3075 -0.0262
4.5288 -1.2927 9.7960
1.5074 1.7287 4.8586
2.8161 3.5459 1.6985
7.1077 1.7287 4.9111
-1.5074 3.8716 4.8586
2.7841 2.0543 8.0712
4.0928 3.8716 4.9111
1.0715 6.8929 -0.0262
-1.0715 1.2927 9.7960
0.7458 -0.0160 12.9561
0.7458 5.6162 3.1863
-2.7841 3.5459 8.0712
2.8161 2.0543 11.4683
0.7458 5.5842 6.5834
0.7458 0.0160 16.3531
4.5288 4.3075 9.7435
1.0715 4.3075 9.7960
-1.5074 1.7287 14.6284
-2.8161 3.5459 11.4683
-1.5074 7.3289 4.9111
```

Values from the calculation:
Mass density, kg/m3: 3232
Raw formation energy, meV/atom: -1141
Spin magnetization, Bohr magnetons per cell: 0.0
Total energy, eV per atom: -5.6157

---

[2]
## TaTi3Co (GGA-PBE)

Data for a relaxed structure of TaTi3Co.

POSCAR file:
```
TaTi3Co
1.0
4.8936 0.0000 0.0000
-0.9054 5.2154 0.0000
-0.1256 -0.0737 6.4681
Ta Ti Co
2 6 2
Cartesian
0.0000 0.0000 0.0000
1.7245 2.2683 3.2125
-0.5451 2.5877 4.9611
1.3058 4.8797 1.6873
2.2626 2.1014 0.0831
1.7560 4.6635 4.7962
4.1831 1.3621 2.2181
3.8187 3.9695 2.7511
0.2108 2.9687 0.7337
0.5923 0.4275 4.2653
```

Values from the calculation:
Mass density, kg/m3: 7715
Spin magnetization, Bohr magnetons per cell: 0.0
Total energy, eV per atom: -8.5113

---

[3]
## PrNdZnGe (GGA-PBE)

Data for a relaxed structure of PrNdZnGe.

POSCAR file:
```
PrNdZnGe
1.0
0.0000 3.6886 3.6886
3.6886 0.0000 3.6886
3.6886 3.6886 0.0000
Pr Nd Zn Ge
1 1 1 1
Cartesian
0.0000 0.0000 0.0000
3.6886 3.6886 3.6886
5.5329 5.5329 5.5329
1.8443 1.8443 1.8443
```

Values from the calculation:
Mass density, kg/m3: 7001
Spin magnetization, Bohr magnetons per cell: 0.0
Total energy, eV per atom: -4.3725

---

[4]
## BaScAg2 (GGA-PBE)

Data for a relaxed structure of BaScAg2.

POSCAR file:
```
BaScAg2
1.0
-1.7501 2.7077 5.6250
1.7501 -2.7077 5.6250
1.7501 2.7077 -5.6250
Ba Sc Ag
1 1 2
Cartesian
0.0000 0.0000 0.0000
1.7501 0.0000 3.3514
0.0000 0.0000 5.9095
0.0000 2.7077 2.6412
```

Values from the calculation:
Mass density, kg/m3: 6199
Spin magnetization, Bohr magnetons per cell: 0.0
Total energy, eV per atom: -3.4150

---

[5]
## ErCu5Pd6 (GGA-PBE)

Data for a relaxed structure of ErCu5Pd6.

POSCAR file:
```
ErCu5Pd6
1.0
2.0562 -6.0976 0.0000
2.0562 6.0976 0.0000
0.0000 0.0000 7.0741
Er Cu Pd
1 5 6
Cartesian
0.0000 0.0000 0.0000
0.0000 0.0000 3.5370
2.0562 2.1533 0.0000
2.0562 1.9999 3.5370
2.0562 -1.9999 3.5370
2.0562 -2.1533 0.0000
2.0562 4.0221 1.8571
2.0562 4.0221 5.2170
2.0562 0.0000 1.8721
2.0562 0.0000 5.2020
2.0562 -4.0221 1.8571
2.0562 -4.0221 5.2170
```

Values from the calculation:
Mass density, kg/m3: 10517
Spin magnetization, Bohr magnetons per cell: 0.0
Total energy, eV per atom: -5.0146

---

[6]
## HRuO3 (GGA-PBE)

Data for a relaxed structure of HRuO3.

POSCAR file:
```
HRuO3
1.0
3.7488 0.0000 0.0000
0.0000 3.7488 0.0000
0.0000 0.0000 3.7488
H Ru O
1 1 3
Cartesian
0.0000 0.0000 0.0000
1.8744 1.8744 1.8744
0.0000 1.8744 1.8744
1.8744 0.0000 1.8744
1.8744 1.8744 0.0000
```

Values from the calculation:
Mass density, kg/m3: 4730
Spin magnetization, Bohr magnetons per cell: 0.9
Total energy, eV per atom: -5.5464